Entry 1:
Dy2Zn3Ga2 | PBE | optimized geometry

CIF file:
```
data_Dy2Zn3Ga2
_chemical_formula_sum 'Dy4 Zn6 Ga4'
_cell_length_a 4.1519
_cell_length_b 20.1356
_cell_length_c 3.4085
_cell_angle_alpha 90.00
_cell_angle_beta 90.00
_cell_angle_gamma 90.00
_symmetry_space_group_name_H-M 'C m m m'
_symmetry_Int_Tables_number 65
_symmetry_space_group_name_Hall '-C 2 2'
loop_
_atom_site_label
_atom_site_type_symbol
_atom_site_fract_x
_atom_site_fract_y
_atom_site_fract_z
Dy1 Dy 0.0000 0.1528 0.0000
Zn1 Zn 0.0000 0.0000 0.0000
Zn2 Zn 0.0000 0.4351 0.5000
Ga1 Ga 0.0000 0.2860 0.5000
```

Output
Raw total energy, eV for the cell shown: -42.25
Energy of formation, eV/f.u.: -2.0



Entry 2:
Dy3Zn2Ga9 | PBE | optimized geometry

CIF file:
```
data_Dy3Zn2Ga9
_chemical_formula_sum 'Dy6 Zn4 Ga18'
_cell_length_a 4.2081
_cell_length_b 10.0175
_cell_length_c 12.5067
_cell_angle_alpha 90.00
_cell_angle_beta 90.00
_cell_angle_gamma 90.00
_symmetry_space_group_name_H-M 'I m m m'
_symmetry_Int_Tables_number 71
_symmetry_space_group_name_Hall '-I 2 2'
loop_
_atom_site_label
_atom_site_type_symbol
_atom_site_fract_x
_atom_site_fract_y
_atom_site_fract_z
Dy1 Dy 0.0000 0.0000 0.0000
Dy2 Dy 0.0000 0.0000 0.3199
Zn1 Zn 0.0000 0.2138 0.5000
Ga1 Ga 0.0000 0.2763 0.1404
Ga2 Ga 0.0000 0.3746 0.3379
Ga3 Ga 0.0000 0.5000 0.0000
```

Output
Raw total energy, eV for the cell shown: -99.78
Energy of formation, eV/f.u.: -6.3



Entry 3:
Dy2Zn7Ga | PBE | optimized geometry

CIF file:
```
data_Dy2Zn7Ga
_chemical_formula_sum 'Dy2 Zn7 Ga1'
_cell_length_a 4.1238
_cell_length_b 4.1238
_cell_length_c 10.7067
_cell_angle_alpha 90.00
_cell_angle_beta 90.00
_cell_angle_gamma 90.00
_symmetry_space_group_name_H-M 'P -4 m 2'
_symmetry_Int_Tables_number 115
_symmetry_space_group_name_Hall 'P -4 -2'
loop_
_atom_site_label
_atom_site_type_symbol
_atom_site_fract_x
_atom_site_fract_y
_atom_site_fract_z
Dy1 Dy 0.0000 0.5000 0.2489
Zn1 Zn 0.0000 0.0000 0.0000
Zn2 Zn 0.0000 0.0000 0.5000
Zn3 Zn 0.0000 0.5000 0.6367
Zn4 Zn 0.0000 0.5000 0.8619
Zn5 Zn 0.5000 0.5000 0.5000
Ga1 Ga 0.5000 0.5000 0.0000
```

Output
Raw total energy, eV for the cell shown: -24.39
Energy of formation, eV/f.u.: -3.2



> The highest raw total energy belongs to which entry?

Dy2Zn7Ga



Copy entry 2 word for word.
Dy3Zn2Ga9 | PBE | optimized geometry

CIF file:
```
data_Dy3Zn2Ga9
_chemical_formula_sum 'Dy6 Zn4 Ga18'
_cell_length_a 4.2081
_cell_length_b 10.0175
_cell_length_c 12.5067
_cell_angle_alpha 90.00
_cell_angle_beta 90.00
_cell_angle_gamma 90.00
_symmetry_space_group_name_H-M 'I m m m'
_symmetry_Int_Tables_number 71
_symmetry_space_group_name_Hall '-I 2 2'
loop_
_atom_site_label
_atom_site_type_symbol
_atom_site_fract_x
_atom_site_fract_y
_atom_site_fract_z
Dy1 Dy 0.0000 0.0000 0.0000
Dy2 Dy 0.0000 0.0000 0.3199
Zn1 Zn 0.0000 0.2138 0.5000
Ga1 Ga 0.0000 0.2763 0.1404
Ga2 Ga 0.0000 0.3746 0.3379
Ga3 Ga 0.0000 0.5000 0.0000
```

Output
Raw total energy, eV for the cell shown: -99.78
Energy of formation, eV/f.u.: -6.3



Repeat the third record exactly.
Dy2Zn7Ga | PBE | optimized geometry

CIF file:
```
data_Dy2Zn7Ga
_chemical_formula_sum 'Dy2 Zn7 Ga1'
_cell_length_a 4.1238
_cell_length_b 4.1238
_cell_length_c 10.7067
_cell_angle_alpha 90.00
_cell_angle_beta 90.00
_cell_angle_gamma 90.00
_symmetry_space_group_name_H-M 'P -4 m 2'
_symmetry_Int_Tables_number 115
_symmetry_space_group_name_Hall 'P -4 -2'
loop_
_atom_site_label
_atom_site_type_symbol
_atom_site_fract_x
_atom_site_fract_y
_atom_site_fract_z
Dy1 Dy 0.0000 0.5000 0.2489
Zn1 Zn 0.0000 0.0000 0.0000
Zn2 Zn 0.0000 0.0000 0.5000
Zn3 Zn 0.0000 0.5000 0.6367
Zn4 Zn 0.0000 0.5000 0.8619
Zn5 Zn 0.5000 0.5000 0.5000
Ga1 Ga 0.5000 0.5000 0.0000
```

Output
Raw total energy, eV for the cell shown: -24.39
Energy of formation, eV/f.u.: -3.2